Record 1
Density functional theory data (GGA-PBE) for a relaxed CuIr2Ru2 crystal.

Values from the calculation:
Crystal system = tetragonal
Polymorph energy (0 for the lowest one) = 0.00 kcal/mol of atoms
Magnetic moment = 0.00 μB/cell
Calculated formation energy = 351 meV per atom
E = -77.2 eV for the cell shown

Lattice parameters (Å, degrees): 7.477 7.477 2.732 90.00 90.00 90.00
Sites, in units of the cell vectors:
Ir  0.376  0.876  0.000
Ir  0.876  0.624  0.000
Ir  0.124  0.376  0.000
Ir  0.624  0.124  0.000
Ru  0.827  0.327  0.500
Ru  0.173  0.673  0.500
Ru  0.327  0.173  0.500
Ru  0.673  0.827  0.500
Cu  0.500  0.500  0.000
Cu  0.000  0.000  0.000

Record 2
Density functional theory data (GGA-PBE) for a relaxed CuIr2Ru crystal.

Values from the calculation:
Crystal system = tetragonal
Polymorph energy (0 for the lowest one) = 1.82 kcal/mol of atoms
Magnetic moment = 0.00 μB/cell
Calculated formation energy = 120 meV per atom
E = -30.6 eV for the cell shown

Lattice parameters (Å, degrees): 4.700 4.700 4.700 132.45 132.45 69.52
Sites, in units of the cell vectors:
Ir  0.500  0.500  0.000
Ir  0.000  0.000  0.000
Ru  0.250  0.750  0.500
Cu  0.750  0.250  0.500